Below is an optimized crystal structure of K3Ho2BiS6, with properties calculated at the PBE level.

Unit cell a=7.0698 b=7.0698 c=7.7347 alpha=98.77 beta=98.77 gamma=120.00
Last column: nearest neighbours and their distance in Å.
Atoms (fractional coordinates):
K 0.0000 0.0000 0.0000  6 S 3.16-3.24
K 0.3359 0.6641 0.0000  6 S 3.18-3.24
K 0.6641 0.3359 0.0000  6 S 3.18-3.24
Ho 0.1670 0.8330 0.5000  6 S 2.76-2.77
Ho 0.8330 0.1670 0.5000  6 S 2.76-2.77
Bi 0.5000 0.5000 0.5000  6 S 2.85
S 0.0889 0.4320 0.2962  2 Ho 2.76-2.77, 1 Bi 2.85
S 0.2247 0.2247 0.7033  2 Ho 2.77, 1 Bi 2.85
S 0.4320 0.0889 0.2962  2 Ho 2.76-2.77, 1 Bi 2.85
S 0.5680 0.9111 0.7038  2 Ho 2.76-2.77, 1 Bi 2.85
S 0.7753 0.7753 0.2967  2 Ho 2.77, 1 Bi 2.85
S 0.9111 0.5680 0.7038  2 Ho 2.76-2.77, 1 Bi 2.85

## Properties
Size of the total moment in μB/f.u.: 0.0
Fermi-level density of states in states/eV per cell: 0.0
Energy relative to the elements, uncorrected in meV per atom: -1530
Symmetry: C2/m (12)
V in Å³ per atom: 26.57